(1)
This record from Alexandria via LeMat-Bulk describes an optimized crystal structure of AgGeC2. The functional is PBE.

## Properties
The density of states at the Fermi level comes out at 3.893 states/eV per cell. The space group is I-42d (122). For the total energy, the calculation gives -5.004 eV per atom. The value obtained for the energy relative to the elements is 1.47 eV/atom. The value obtained for the energy above the most stable polymorph in this dataset is 0.000 eV/atom.

abc: 4.9441 4.9441 5.6876
angles: 64.24 64.24 90.00
With the nearest neighbours (Å) after each atom.
Atoms (fractional coordinates):
C  0.1640  0.6250  0.2500  2 Ge 1.97, 2 Ag 2.20
Ag  0.0000  0.0000  0.0000  4 C 2.20
C  0.5860  0.1250  0.2500  2 Ge 1.97, 2 Ag 2.20
C  0.3750  0.4140  0.7500  2 Ge 1.97, 2 Ag 2.20
Ag  0.7500  0.2500  0.5000  4 C 2.20
Ge  0.5000  0.5000  0.0000  4 C 1.97
Ge  0.2500  0.7500  0.5000  4 C 1.97
C  0.8750  0.8360  0.7500  2 Ge 1.97, 2 Ag 2.20


(2)
This record from Alexandria via LeMat-Bulk describes an optimized crystal structure of NaV3Os. The functional is PBE.

## Properties
The density of states at the Fermi level comes out at 6.880 states/eV per cell. The space group is Pm-3m (221). For the total energy, the calculation gives -6.921 eV per atom. The value obtained for the energy relative to the elements is 1.06 eV/atom. The value obtained for the energy above the most stable polymorph in this dataset is 0.000 eV/atom.

abc: 4.6808 4.6808 4.6808
angles: 90.00 90.00 90.00
With the nearest neighbours (Å) after each atom.
Atoms (fractional coordinates):
Os  0.0000  0.0000  0.0000  6 V 2.34
V  0.0000  0.5000  0.0000  2 Os 2.34
V  0.0000  0.0000  0.5000  2 Os 2.34
Na  0.5000  0.5000  0.5000  12 V 3.31
V  0.5000  0.0000  0.0000  2 Os 2.34


(3)
This record from Alexandria via LeMat-Bulk describes an optimized crystal structure of SrB5C2. The functional is PBE.

## Properties
The density of states at the Fermi level comes out at 1.499 states/eV per cell. The space group is Immm (71). For the total energy, the calculation gives -6.114 eV per atom. The value obtained for the energy relative to the elements is 0.58 eV/atom.

abc: 6.0818 5.0313 5.0313
angles: 53.26 52.81 52.81
With the nearest neighbours (Å) after each atom.
Atoms (fractional coordinates):
Sr  0.0000  0.0000  0.0000  2 B 2.26
B  0.0000  0.5000  0.5000  2 C 1.50
B  0.3737  0.4184  0.8342  1 C 1.64, 1 B 1.67
B  0.6263  0.1658  0.5816  1 C 1.64, 1 B 1.67
C  0.2264  0.2736  0.2736  3 B 1.50-1.64
B  0.6263  0.5816  0.1658  1 C 1.64, 1 B 1.67
C  0.7736  0.7264  0.7264  3 B 1.50-1.64
B  0.3737  0.8342  0.4184  1 C 1.64, 1 B 1.67


(4)
This record from Alexandria via LeMat-Bulk describes an optimized crystal structure of Ce4AsPSe2. The functional is PBE.

## Properties
The density of states at the Fermi level comes out at 22.087 states/eV per cell. The calculation puts the uncorrected formation energy at -1666 meV/atom. The space group is P2/m (10). For the total energy, the calculation gives -6.762 eV per atom.

abc: 4.1791 7.2577 7.2494
angles: 70.62 90.00 90.00
With the nearest neighbours (Å) after each atom.
Atoms (fractional coordinates):
P  0.5000  0.5000  0.0000  6 Ce 2.90
Se  0.5000  0.0000  0.5000  6 Ce 3.02
Ce  0.5000  0.2584  0.7525  1 P 2.90, 2 As 2.94, 3 Se 2.98-3.02
Ce  0.0000  0.2622  0.2407  2 P 2.90, 1 As 2.94, 3 Se 2.98-3.02
Ce  0.5000  0.7416  0.2475  1 P 2.90, 2 As 2.94, 3 Se 2.98-3.02
Se  0.0000  0.0000  0.0000  6 Ce 2.98
As  0.0000  0.5000  0.5000  6 Ce 2.94
Ce  0.0000  0.7378  0.7593  2 P 2.90, 1 As 2.94, 3 Se 2.98-3.02


(5)
This record from Alexandria via LeMat-Bulk describes an optimized crystal structure of Pr6DyEr4. The functional is PBE.

## Properties
The density of states at the Fermi level comes out at 15.357 states/eV per cell. The space group is I-42m (121). For the total energy, the calculation gives -4.387 eV per atom. The value obtained for the energy relative to the elements is 0.30 eV/atom.

abc: 6.8281 6.8281 9.5556
angles: 110.93 110.93 90.00
With the nearest neighbours (Å) after each atom.
Atoms (fractional coordinates):
Pr  0.8705  0.8705  0.3566  5 Er 3.43-3.80, 1 Dy 3.48, 1 Pr 3.71
Pr  0.4861  0.4861  0.3566  5 Er 3.43-3.80, 1 Dy 3.48, 1 Pr 3.71
Er  0.2890  0.9391  0.2281  3 Pr 3.14-3.43, 1 Er 3.38
Er  0.0609  0.0609  0.7719  3 Pr 3.14-3.43, 1 Er 3.38
Er  0.7110  0.7110  0.7719  3 Pr 3.14-3.43, 1 Er 3.38
Dy  0.5000  0.5000  0.0000  8 Pr 3.41-3.48, 4 Er 3.66
Er  0.9391  0.2890  0.2281  3 Pr 3.14-3.43, 1 Er 3.38
Pr  0.5139  0.1295  0.6434  5 Er 3.43-3.80, 1 Dy 3.48, 1 Pr 3.71
Pr  0.1295  0.5139  0.6434  5 Er 3.43-3.80, 1 Dy 3.48, 1 Pr 3.71
Pr  0.5000  0.0000  0.0000  4 Er 3.14, 2 Dy 3.41
Pr  0.0000  0.5000  0.0000  4 Er 3.14, 2 Dy 3.41


(6)
This record from Alexandria via LeMat-Bulk describes an optimized crystal structure of TmCuS2. The functional is PBE.

## Properties
The calculation puts the uncorrected formation energy at -1165 meV/atom. The space group is Cm (8). For the total energy, the calculation gives -5.371 eV per atom.

abc: 3.8498 3.8498 7.0443
angles: 75.24 75.24 59.84
With the nearest neighbours (Å) after each atom.
Atoms (fractional coordinates):
Tm  0.4911  0.4911  0.5202  3 S 2.62
S  0.2228  0.2228  0.3126  3 Tm 2.62
S  0.0647  0.0647  0.8160  3 Cu 2.23
Cu  0.7213  0.7213  0.8512  3 S 2.23


(7)
This record from Alexandria via LeMat-Bulk describes an optimized crystal structure of InRhIO2. The functional is PBE.

## Properties
The density of states at the Fermi level comes out at 5.032 states/eV per cell. The calculation puts the uncorrected formation energy at 93 meV/atom. The space group is P4/mmm (123). For the total energy, the calculation gives -4.218 eV per atom. The value obtained for the energy above the most stable polymorph in this dataset is 0.106 eV/atom.

abc: 4.0276 4.0276 6.7593
angles: 90.00 90.00 90.00
With the nearest neighbours (Å) after each atom.
Atoms (fractional coordinates):
O  0.5000  0.0000  0.0000  2 In 2.01
I  0.0000  0.0000  0.5000  4 Rh 2.85
O  0.0000  0.5000  0.0000  2 In 2.01
Rh  0.5000  0.5000  0.5000  4 I 2.85
In  0.0000  0.0000  0.0000  4 O 2.01


(8)
This record from Alexandria via LeMat-Bulk describes an optimized crystal structure of Ba2La2TlCu2O9. The functional is PBE.

## Properties
The density of states at the Fermi level comes out at 3.714 states/eV per cell. The calculation puts the uncorrected formation energy at -2012 meV/atom. The space group is I4/mmm (139). For the total energy, the calculation gives -6.317 eV per atom.

abc: 16.4205 16.4205 16.4205
angles: 166.58 166.58 19.03
With the nearest neighbours (Å) after each atom.
Atoms (fractional coordinates):
O  0.5000  0.5000  0.0000  2 Ba 2.69, 4 Tl 2.71
O  0.0653  0.0653  0.0000  1 Tl 2.12
Cu  0.1505  0.1505  0.0000  4 O 1.92
O  0.8469  0.3469  0.5000  2 Cu 1.92
O  0.1531  0.6531  0.5000  2 Cu 1.92
O  0.2224  0.2224  0.0000  1 Cu 2.33, 1 La 2.36
La  0.2953  0.2953  0.0000  5 O 2.36-2.55
O  0.3469  0.8469  0.5000  2 Cu 1.92
Ba  0.4171  0.4171  0.0000  9 O 2.69-2.97
Cu  0.8495  0.8495  0.0000  4 O 1.92
O  0.9347  0.9347  0.0000  1 Tl 2.12
O  0.6531  0.1531  0.5000  2 Cu 1.92
Ba  0.5829  0.5829  0.0000  9 O 2.69-2.97
La  0.7047  0.7047  0.0000  5 O 2.36-2.55
O  0.7776  0.7776  0.0000  1 Cu 2.33, 1 La 2.36
Tl  0.0000  0.0000  0.0000  2 O 2.12


These records have theoretical density values of 6.19 5.93 3.03 6.60 7.24 5.71 5.70 7.16 Mg/m³, in the order they appear.